1.
# RbSiAu4

A relaxed RbSiAu4 crystal (PBE, Alexandria via LeMat-Bulk).

Geometry as POSCAR:
```
RbSiAu4
1.0
-6.2038 -2.6343 1.5804
2.5629 -2.8263 5.3494
-2.9708 6.3887 0.7634
Au Si Rb
8 2 2
Direct
0.3741 0.1217 0.8203
0.0000 0.2749 0.0000
0.6259 0.8783 0.1797
0.3664 0.7187 0.4373
0.3741 0.6986 0.8203
0.6336 0.2813 0.5627
0.0000 0.7251 0.0000
0.6259 0.3014 0.1797
0.7047 0.4667 0.9335
0.2953 0.5333 0.0665
0.1481 0.2125 0.4251
0.8519 0.7875 0.5749
```

Results
Crystal system   monoclinic
Space-group type   C2/m
DFT total energy   -3.414 eV/atom

***

2.
# Rb4Si2Au5

A relaxed Rb4Si2Au5 crystal (PBE, Alexandria via LeMat-Bulk).

Geometry as POSCAR:
```
Rb4Si2Au5
1.0
-3.3073 -4.2380 1.3467
5.3479 -3.1866 3.1055
-1.9876 4.0879 7.9830
Rb Au Si
4 5 2
Direct
0.5000 0.7782 0.9021
0.5000 0.2218 0.0979
0.5000 0.2759 0.5780
0.5000 0.7241 0.4220
0.0000 0.3680 0.2869
0.0000 0.2315 0.7816
0.0000 0.5000 0.0000
0.0000 0.6320 0.7131
0.0000 0.7685 0.2184
0.0000 0.0438 0.3775
0.0000 0.9562 0.6225
```

Results
Crystal system   monoclinic
Space-group type   P2/m
DFT total energy   -3.028 eV/atom

***

3.
# RbSi2Au4

A relaxed RbSi2Au4 crystal (PBE, Alexandria via LeMat-Bulk).

Geometry as POSCAR:
```
RbSi2Au4
1.0
4.7016 0.0000 0.0000
0.0000 4.6063 0.0000
0.0000 -2.3032 6.7460
Au Si Rb
4 2 1
Direct
0.0000 0.6748 0.3496
0.5000 0.1803 0.3607
0.0000 0.3252 0.6504
0.5000 0.8197 0.6393
0.5000 0.5999 0.1997
0.5000 0.4001 0.8003
0.0000 0.0000 0.0000
```

Results
Crystal system   orthorhombic
Space-group type   Cmmm
DFT total energy   -3.642 eV/atom

***

4.
# RbSi2Au

A relaxed RbSi2Au crystal (PBE, Alexandria via LeMat-Bulk).

Geometry as POSCAR:
```
RbSi2Au
1.0
0.0819 -1.6134 4.6902
1.3259 3.0766 3.6584
-3.3951 1.6127 3.2373
Au Si Rb
1 2 1
Direct
0.5000 0.5000 0.5000
0.2500 0.2500 0.2500
0.7500 0.7500 0.7500
0.0000 0.0000 0.0000
```

Results
Crystal system   cubic
Space-group type   Fm-3m
DFT total energy   -3.036 eV/atom

***

5.
# RbSi2Au2

A relaxed RbSi2Au2 crystal (PBE, Alexandria via LeMat-Bulk).

Geometry as POSCAR:
```
RbSi2Au2
1.0
-1.9104 2.5101 2.8289
-3.9670 -0.9195 1.1705
0.8958 -4.1159 7.4006
Si Au Rb
2 2 1
Direct
0.9471 0.4471 0.6437
0.0529 0.5529 0.3563
0.7242 0.2242 0.3238
0.2758 0.7758 0.6762
0.5000 0.0000 0.0000
```

Results
Crystal system   monoclinic
Space-group type   C2/m
DFT total energy   -3.755 eV/atom
Energy above the lowest structure with this stoichiometry   0.0 meV/atom

***

6.
# Rb2SiAu5

A relaxed Rb2SiAu5 crystal (PBE, Alexandria via LeMat-Bulk).

Geometry as POSCAR:
```
Rb2SiAu5
1.0
6.2756 0.0000 0.0000
0.0001 6.2755 -0.0010
-3.1376 -3.1380 5.4349
Si Rb Au
1 2 5
Direct
0.9408 0.9408 0.8817
0.7741 0.2741 0.5482
0.2741 0.7741 0.5482
0.2838 0.7572 0.0410
0.7571 0.7572 0.0410
0.2838 0.2838 0.0409
0.7571 0.2838 0.0409
0.7060 0.7060 0.4121
```

Results
Crystal system   tetragonal
Space-group type   I4mm
DFT total energy   -3.161 eV/atom

***

7.
# RbSiAu2

A relaxed RbSiAu2 crystal (PBE, Alexandria via LeMat-Bulk).

Geometry as POSCAR:
```
RbSiAu2
1.0
-3.2665 -0.5966 4.5791
3.7832 -3.5619 2.2347
3.9461 3.9834 6.8273
Au Rb Si
4 2 2
Direct
0.3750 0.6248 0.7500
0.8750 0.6252 0.7500
0.3752 0.1250 0.2500
0.3748 0.6250 0.2500
0.0000 0.0000 0.0000
0.7500 0.2500 0.5000
0.5000 0.5000 0.0000
0.2500 0.7500 0.5000
```

Results
Crystal system   tetragonal
Space-group type   I4_1/amd
DFT total energy   -3.426 eV/atom

***

8.
# Rb2SiAu2

A relaxed Rb2SiAu2 crystal (PBE, Alexandria via LeMat-Bulk).

Geometry as POSCAR:
```
Rb2SiAu2
1.0
7.0937 0.0000 0.0000
0.0000 7.0937 0.0000
0.0000 0.0000 5.8590
Au Rb Si
4 4 2
Direct
0.1993 0.3007 0.0000
0.6993 0.1993 0.0000
0.8007 0.6993 0.0000
0.3007 0.8007 0.0000
0.3373 0.1627 0.5000
0.6627 0.8373 0.5000
0.8373 0.3373 0.5000
0.1627 0.6627 0.5000
0.5000 0.5000 0.0000
0.0000 0.0000 0.0000
```

Results
Crystal system   tetragonal
Space-group type   P4/mbm
DFT total energy   -2.822 eV/atom
Energy above the lowest structure with this stoichiometry   129.8 meV/atom

***

9.
# RbSi2Au2

A relaxed RbSi2Au2 crystal (PBE, Alexandria via LeMat-Bulk).

Geometry as POSCAR:
```
RbSi2Au2
1.0
-3.3551 0.9784 -3.0422
-3.1911 -1.2630 3.1131
-3.4977 5.5407 2.1108
Si Au Rb
2 2 1
Direct
0.7500 0.2500 0.5000
0.2500 0.7500 0.5000
0.3305 0.3305 0.3390
0.6695 0.6695 0.6610
0.0000 0.0000 0.0000
```

Results
Crystal system   tetragonal
Space-group type   I4/mmm
DFT total energy   -3.729 eV/atom
Energy above the lowest structure with this stoichiometry   25.1 meV/atom

***

10.
# RbSi2Au2

A relaxed RbSi2Au2 crystal (PBE, Alexandria via LeMat-Bulk).

Geometry as POSCAR:
```
RbSi2Au2
1.0
4.5905 0.0000 0.0000
0.0000 4.5905 0.0000
2.2952 2.2952 5.1783
Au Si Rb
2 2 1
Direct
0.2500 0.7500 0.5000
0.7500 0.2500 0.5000
0.6274 0.6274 0.7453
0.3726 0.3726 0.2547
0.0000 0.0000 0.0000
```

Results
Crystal system   tetragonal
Space-group type   I4/mmm
DFT total energy   -3.702 eV/atom
Energy above the lowest structure with this stoichiometry   52.5 meV/atom

***

11.
# RbSi3Au

A relaxed RbSi3Au crystal (PBE, Alexandria via LeMat-Bulk).

Geometry as POSCAR:
```
RbSi3Au
1.0
5.1016 0.0000 0.0000
0.0000 5.1016 0.0000
0.0000 0.0000 5.1016
Rb Si Au
1 3 1
Direct
0.5000 0.5000 0.5000
0.0000 0.5000 0.0000
0.0000 0.0000 0.5000
0.5000 0.0000 0.0000
0.0000 0.0000 0.0000
```

Results
Crystal system   cubic
Space-group type   Pm-3m
DFT total energy   -3.291 eV/atom
Energy above the lowest structure with this stoichiometry   0.0 meV/atom

***

12.
# Rb3SiAu3

A relaxed Rb3SiAu3 crystal (PBE, Alexandria via LeMat-Bulk).

Geometry as POSCAR:
```
Rb3SiAu3
1.0
-1.7376 -6.7201 -0.6234
0.3800 -1.0598 10.3643
-8.9313 2.7386 -4.6271
Rb Au Si
6 6 2
Direct
0.7500 0.3781 0.1895
0.2500 0.1889 0.8119
0.2500 0.1888 0.3781
0.7500 0.8111 0.1881
0.2500 0.6219 0.8105
0.7500 0.8112 0.6219
0.2500 0.7989 0.2004
0.2500 0.4030 0.2018
0.7500 0.2011 0.4029
0.7500 0.2011 0.7996
0.7500 0.5970 0.7982
0.2500 0.7989 0.5971
0.2500 0.6671 0.3329
0.7500 0.3329 0.6671
```

Results
Crystal system   orthorhombic
Space-group type   Cmcm
DFT total energy   -2.612 eV/atom

***

Number 1: E_form (uncorrected) -0.98 eV/f.u.. Number 2: E_form (uncorrected) -2.20 eV/f.u.. Number 3: E_form (uncorrected) -0.57 eV/f.u.. Number 4: E_form (uncorrected) 2.95 eV/f.u.. Number 5: E_form (uncorrected) -0.40 eV/f.u.. Number 6: E_form (uncorrected) -1.54 eV/f.u.. Number 7: E_form (uncorrected) -0.76 eV/f.u.. Number 8: E_form (uncorrected) -0.20 eV/f.u.. Number 9: E_form (uncorrected) -0.28 eV/f.u.. Number 10: E_form (uncorrected) -0.14 eV/f.u.. Number 11: E_form (uncorrected) 4.06 eV/f.u.. Number 12: E_form (uncorrected) -0.12 eV/f.u..